No. 1
PBE La7SmEr2, optimized geometry; magnetization = 0.000 μB per formula unit; formation energy = 0.60 eV per atom; electronic total energy = -4.237 eV/atom
1.0
-1.144 1.888 5.407
-4.384 -7.969 1.855
9.092 1.029 1.565
La Sm Er
7 1 2
direct
0.000 0.236 0.764
0.500 0.702 0.934
0.500 0.298 0.066
0.500 0.934 0.702
0.000 0.764 0.236
0.500 0.066 0.298
0.500 0.500 0.500
0.000 0.000 0.000
0.500 0.296 0.704
0.500 0.704 0.296

No. 2
PBE La12SmEr7, optimized geometry; magnetization = 0.000 μB per formula unit; formation energy = 0.20 eV per atom; electronic total energy = -4.586 eV/atom; energy relative to the lowest polymorph listed for this composition = 0.010 eV per atom
1.0
6.230 0.000 -1.282
-3.216 9.786 -5.107
0.201 0.000 11.495
La Sm Er
12 1 7
direct
0.092 0.592 0.184
0.925 0.355 0.355
0.430 0.000 0.355
0.430 0.355 0.000
0.500 0.592 0.408
0.908 0.408 0.816
0.570 0.645 0.000
0.908 0.816 0.408
0.092 0.184 0.592
0.570 0.000 0.645
0.500 0.408 0.592
0.075 0.645 0.645
0.000 0.000 0.000
0.362 0.248 0.247
0.885 0.000 0.248
0.885 0.247 0.000
0.500 0.000 0.000
0.638 0.752 0.753
0.115 0.000 0.752
0.115 0.753 0.000

> Number 1 is which compound?

La7SmEr2

Copy entry 2 word for word.
PBE La12SmEr7, optimized geometry; magnetization = 0.000 μB per formula unit; formation energy = 0.20 eV per atom; electronic total energy = -4.586 eV/atom; energy relative to the lowest polymorph listed for this composition = 0.010 eV per atom
1.0
6.230 0.000 -1.282
-3.216 9.786 -5.107
0.201 0.000 11.495
La Sm Er
12 1 7
direct
0.092 0.592 0.184
0.925 0.355 0.355
0.430 0.000 0.355
0.430 0.355 0.000
0.500 0.592 0.408
0.908 0.408 0.816
0.570 0.645 0.000
0.908 0.816 0.408
0.092 0.184 0.592
0.570 0.000 0.645
0.500 0.408 0.592
0.075 0.645 0.645
0.000 0.000 0.000
0.362 0.248 0.247
0.885 0.000 0.248
0.885 0.247 0.000
0.500 0.000 0.000
0.638 0.752 0.753
0.115 0.000 0.752
0.115 0.753 0.000

> What is the formation energy in the second record?

0.20 eV per atom